# Ba2US2O2, optimized geometry, DFT PBE-GGA
data_Ba2US2O2
_chemical_formula_sum 'Ba4 U2 S4 O4'
_space_group_name_H-M_alt 'I 4/m m m'
_space_group_IT_number 139
_space_group_name_Hall '-I 4 2'
_cell_length_a 4.473
_cell_length_b 4.473
_cell_length_c 16.642
_cell_angle_alpha 90.00
_cell_angle_beta 90.00
_cell_angle_gamma 90.00
loop_
_atom_site_label
_atom_site_fract_x
_atom_site_fract_y
_atom_site_fract_z
Ba1 0.000 0.000 0.141
U1 0.000 0.000 0.500
S1 0.000 0.000 0.333
O1 0.000 0.500 0.000
# Raw total energy: -101.526 eV for the cell shown
# Formation energy (no corrections): -2.49 eV/atom